No. 1
## SmErPa (PBE)

Data for a relaxed structure of SmErPa.

Theoretical density, kg/m³: 10402
N(E_F), states/eV per cell: 4.5
Energy of formation from the pure elements, eV/atom: 0.14
Excess energy over the best structure of this formula in the dataset, eV per atom: 0.000

Unit cell a=3.4314 b=3.4314 c=8.5892 alpha=90.00 beta=90.00 gamma=120.00
Element x y z (fractional)
Sm1 0.3333 0.6667 0.6795
Pa1 0.0000 0.0000 0.0026
Er1 0.6667 0.3333 0.3179

---

No. 2
## TiAl2Pd8 (PBE)

Data for a relaxed structure of TiAl2Pd8.

Theoretical density, kg/m³: 9357
N(E_F), states/eV per cell: 4.3
Energy of formation from the pure elements, eV/atom: -0.65
Excess energy over the best structure of this formula in the dataset, eV per atom: 0.000

Unit cell a=4.0197 b=6.9465 c=7.2669 alpha=118.55 beta=106.06 gamma=90.00
Element x y z (fractional)
Ti1 0.5000 0.0000 0.0000
Pd1 0.8555 0.8555 0.7110
Pd2 0.6630 0.4418 0.3260
Pd3 0.1445 0.1445 0.2890
Pd4 0.3370 0.1158 0.6740
Pd5 0.0000 0.6984 0.0000
Pd6 0.3370 0.5582 0.6740
Pd7 0.0000 0.3016 0.0000
Pd8 0.6630 0.8842 0.3260
Al1 0.1885 0.6885 0.3769
Al2 0.8115 0.3115 0.6231

---

No. 3
## Tl2InRu (PBE)

Data for a relaxed structure of Tl2InRu.

Theoretical density, kg/m³: 10349
N(E_F), states/eV per cell: 2.0
Energy of formation from the pure elements, eV/atom: 0.20
Excess energy over the best structure of this formula in the dataset, eV per atom: 0.007

Unit cell a=7.5972 b=7.5972 c=4.4823 alpha=72.86 beta=72.86 gamma=23.97
Element x y z (fractional)
Ru1 0.2500 0.2500 0.2500
Tl1 0.5748 0.5748 0.4252
Tl2 0.9252 0.9252 0.0748
In1 0.7500 0.7500 0.7500

---

No. 4
## RbIn3Si (PBE)

Data for a relaxed structure of RbIn3Si.

Theoretical density, kg/m³: 4411
N(E_F), states/eV per cell: 3.9
Excess energy over the best structure of this formula in the dataset, eV per atom: 0.000

Unit cell a=5.5657 b=5.5657 c=5.5657 alpha=90.00 beta=90.00 gamma=90.00
Element x y z (fractional)
Si1 0.0000 0.0000 0.0000
In1 0.0000 0.5000 0.0000
In2 0.0000 0.0000 0.5000
In3 0.5000 0.0000 0.0000
Rb1 0.5000 0.5000 0.5000

---

No. 5
## KNpUS4 (PBE)

Data for a relaxed structure of KNpUS4.

Theoretical density, kg/m³: 5124
N(E_F), states/eV per cell: 25.9
Total DFT energy (no corrections), eV/atom: -7.349

Unit cell a=8.3551 b=8.3843 c=8.3988 alpha=120.06 beta=90.00 gamma=119.88
Element x y z (fractional)
S1 0.7323 0.4646 0.2732
S2 0.3101 0.0451 0.2725
S3 0.2650 0.9549 0.7275
S4 0.7323 0.4646 0.6914
S5 0.2677 0.5354 0.3086
S6 0.6899 0.9549 0.7275
S7 0.2677 0.5354 0.7268
S8 0.7350 0.0451 0.2725
U1 0.0000 0.5000 0.5000
U2 0.5000 0.5000 0.5000
Np1 0.5000 0.0000 0.5000
Np2 0.5000 0.0000 0.0000
K1 0.8758 0.7516 0.1258
K2 0.1242 0.2484 0.8742

---

No. 6
## Ac5LaDy (PBE)

Data for a relaxed structure of Ac5LaDy.

Theoretical density, kg/m³: 7992
N(E_F), states/eV per cell: 22.6
Energy of formation from the pure elements, eV/atom: 0.19

Unit cell a=7.1134 b=7.3390 c=13.1992 alpha=96.99 beta=90.00 gamma=118.99
Element x y z (fractional)
Ac1 0.7540 0.0000 0.7500
Ac2 0.6356 0.3062 0.0244
Ac3 0.8389 0.5523 0.7946
Ac4 0.3644 0.6938 0.9756
Ac5 0.7134 0.5523 0.2946
Ac6 0.1611 0.4477 0.2054
Ac7 0.2460 0.0000 0.2500
Ac8 0.3294 0.6938 0.4756
Ac9 0.6706 0.3062 0.5244
Ac10 0.2866 0.4477 0.7054
La1 0.0000 0.0000 0.5000
La2 0.0000 0.0000 0.0000
Dy1 0.7096 0.0000 0.2500
Dy2 0.2904 0.0000 0.7500

---

No. 7
## Tb4Tm7Th (PBE)

Data for a relaxed structure of Tb4Tm7Th.

Theoretical density, kg/m³: 9128
N(E_F), states/eV per cell: 18.4
Energy of formation from the pure elements, eV/atom: 0.08
Excess energy over the best structure of this formula in the dataset, eV per atom: 0.000

Unit cell a=6.9166 b=8.4036 c=8.5519 alpha=88.88 beta=101.19 gamma=51.11
Element x y z (fractional)
Tm1 0.2682 0.4821 0.0214
Tm2 0.9435 0.3222 0.6758
Tm3 0.2841 0.8238 0.6388
Tm4 0.7318 0.5179 0.9786
Tm5 0.5000 0.0000 0.0000
Tm6 0.7159 0.1762 0.3612
Tm7 0.0565 0.6778 0.3242
Tb1 0.5733 0.6564 0.3184
Tb2 0.7934 0.8148 0.6661
Tb3 0.4267 0.3436 0.6816
Tb4 0.2066 0.1852 0.3339
Th1 0.0000 0.0000 0.0000

---

No. 8
## Be2CrRh (PBE)

Data for a relaxed structure of Be2CrRh.

Theoretical density, kg/m³: 6897
N(E_F), states/eV per cell: 2.0
Energy of formation from the pure elements, eV/atom: -0.22
Excess energy over the best structure of this formula in the dataset, eV per atom: 0.048

Unit cell a=3.6131 b=2.7097 c=4.4617 alpha=72.38 beta=90.00 gamma=90.00
Element x y z (fractional)
Rh1 0.5000 0.7800 0.8150
Be1 0.5000 0.0549 0.2659
Be2 0.0000 0.1949 0.9841
Cr1 0.0000 0.4702 0.4350

---

Which of these has the highest theoretical density?
SmErPa

---

Which formula does entry 2 have?
TiAl2Pd8

---

Repeat the first record exactly.
## SmErPa (PBE)

Data for a relaxed structure of SmErPa.

Theoretical density, kg/m³: 10402
N(E_F), states/eV per cell: 4.5
Energy of formation from the pure elements, eV/atom: 0.14
Excess energy over the best structure of this formula in the dataset, eV per atom: 0.000

Unit cell a=3.4314 b=3.4314 c=8.5892 alpha=90.00 beta=90.00 gamma=120.00
Element x y z (fractional)
Sm1 0.3333 0.6667 0.6795
Pa1 0.0000 0.0000 0.0026
Er1 0.6667 0.3333 0.3179

---

Copy entry 4 word for word.
## RbIn3Si (PBE)

Data for a relaxed structure of RbIn3Si.

Theoretical density, kg/m³: 4411
N(E_F), states/eV per cell: 3.9
Excess energy over the best structure of this formula in the dataset, eV per atom: 0.000

Unit cell a=5.5657 b=5.5657 c=5.5657 alpha=90.00 beta=90.00 gamma=90.00
Element x y z (fractional)
Si1 0.0000 0.0000 0.0000
In1 0.0000 0.5000 0.0000
In2 0.0000 0.0000 0.5000
In3 0.5000 0.0000 0.0000
Rb1 0.5000 0.5000 0.5000